Entry from Alexandria via LeMat-Bulk: an optimized crystal structure of Ge2MoPtI (PBE).

The structure in POSCAR format:
```
Ge2MoPtI
1.0
5.044 0.000 0.000
0.000 5.044 0.000
0.000 0.000 4.890
Ge Mo Pt I
2 1 1 1
direct
0.000 0.500 0.000
0.500 0.000 0.000
0.000 0.000 0.000
0.000 0.000 0.500
0.500 0.500 0.500
```

Values from the calculation:
The crystal system is tetragonal. The volume is 124 Å³ per cell. The calculation puts the raw formation energy at 675 meV/atom. For the total magnetization, the calculation gives 0.00 μB/atom. As for the symmetry: P4/mmm, No. 123. The calculation puts the theoretical density at 7.5 g/cm³.


Entry from Alexandria via LeMat-Bulk: an optimized crystal structure of SrGeMo2I (PBE).

The structure in POSCAR format:
```
SrGeMo2I
1.0
5.043 0.000 0.000
0.000 5.043 0.000
0.000 0.000 5.926
Sr Ge Mo I
1 1 2 1
direct
0.000 0.000 0.000
0.500 0.500 0.000
0.000 0.500 0.500
0.500 0.000 0.500
0.000 0.000 0.500
```

Values from the calculation:
The crystal system is tetragonal. The volume is 151 Å³ per cell. The calculation puts the raw formation energy at 1552 meV/atom. For the total magnetization, the calculation gives 0.77 μB/atom. As for the symmetry: P4/mmm, No. 123. The calculation puts the theoretical density at 5.3 g/cm³.


Entry from Alexandria via LeMat-Bulk: an optimized crystal structure of Tc2GeMoI (PBE).

The structure in POSCAR format:
```
Tc2GeMoI
1.0
4.813 0.000 0.000
0.000 4.813 0.000
0.000 0.000 5.264
Tc Ge Mo I
2 1 1 1
direct
0.000 0.500 0.000
0.500 0.000 0.000
0.000 0.000 0.500
0.500 0.500 0.500
0.000 0.000 0.000
```

Values from the calculation:
The crystal system is tetragonal. The volume is 122 Å³ per cell. The calculation puts the raw formation energy at 2339 meV/atom. For the total magnetization, the calculation gives 0.46 μB/atom. As for the symmetry: P4/mmm, No. 123. The calculation puts the theoretical density at 6.7 g/cm³.